A plane-wave DFT calculation with GGA-PBE was carried out for a relaxed Y3GaCu8 crystal.

Properties
The formation enthalpy at 0 K is -0.203 eV per atom.

Structure (CIF):
```
data_Y3GaCu8
_chemical_formula_sum 'Y9 Ga3 Cu24'
_symmetry_space_group_name_H-M 'R 3 m'
_symmetry_Int_Tables_number 160
_symmetry_space_group_name_Hall 'R 3 -2"'
_cell_length_a 5.1727
_cell_length_b 5.1727
_cell_length_c 25.3538
_cell_angle_alpha 90.00
_cell_angle_beta 90.00
_cell_angle_gamma 120.00
loop_
_atom_site_label
_atom_site_fract_x
_atom_site_fract_y
_atom_site_fract_z
_atom_site_occupancy
Y1 0.0000 0.0000 0.0000 1
Y2 0.0000 0.0000 0.1268 1
Y3 0.0000 0.0000 0.6123 1
Ga1 0.0000 0.0000 0.4879 1
Cu1 0.0000 0.0000 0.3079 1
Cu2 0.0000 0.0000 0.8094 1
Cu3 0.0007 0.5004 0.0594 1
Cu4 0.0062 0.5031 0.5584 1
```

=====

A plane-wave DFT calculation with GGA-PBE was carried out for a relaxed Y2GaCu crystal.

Properties
The formation enthalpy at 0 K is 0.565 eV per atom.

Structure (CIF):
```
data_Y2GaCu
_chemical_formula_sum 'Y4 Ga2 Cu2'
_symmetry_space_group_name_H-M 'I m m m'
_symmetry_Int_Tables_number 71
_symmetry_space_group_name_Hall '-I 2 2'
_cell_length_a 3.232
_cell_length_b 5.552
_cell_length_c 11.716
_cell_angle_alpha 90.00
_cell_angle_beta 90.00
_cell_angle_gamma 90.00
loop_
_atom_site_label
_atom_site_fract_x
_atom_site_fract_y
_atom_site_fract_z
_atom_site_occupancy
Y1 0.000 0.000 0.234 1
Ga1 0.000 0.000 0.500 1
Cu1 0.000 0.000 0.000 1
```

=====

A plane-wave DFT calculation with GGA-PBE was carried out for a relaxed Y2Ga5Cu3 crystal.

Properties
The formation enthalpy at 0 K is -0.482 eV per atom.

Structure (CIF):
```
data_Y2Ga5Cu3
_chemical_formula_sum 'Y8 Ga20 Cu12'
_symmetry_space_group_name_H-M 'I b a m'
_symmetry_Int_Tables_number 72
_symmetry_space_group_name_Hall '-I 2 2c'
_cell_length_a 10.378
_cell_length_b 11.629
_cell_length_c 5.837
_cell_angle_alpha 90.00
_cell_angle_beta 90.00
_cell_angle_gamma 90.00
loop_
_atom_site_label
_atom_site_fract_x
_atom_site_fract_y
_atom_site_fract_z
_atom_site_occupancy
Y1 0.243 0.129 0.000 1
Ga1 0.000 0.000 0.250 1
Ga2 0.000 0.259 0.250 1
Ga3 0.148 0.389 0.000 1
Cu1 0.000 0.500 0.250 1
Cu2 0.125 0.130 0.500 1
```

=====

no.,calculated volume (Å³/atom),calculated total energy (hartree per atom),N(E_F) (states/eV/cell)
1,16.3,-0.176,23.57
2,26.3,-0.163,9.75
3,17.6,-0.166,14.29